[1]
A plane-wave DFT calculation with GGA-PBE was carried out for a geometry-optimized PmNdAsI structure.

Formation energy (no corrections) ... -503 kJ/mol of formula units
Crystal system ... trigonal

CIF file:
```
data_PmNdAsI
_chemical_formula_sum 'Pm3 Nd3 As3 I3'
_cell_length_a 4.2360
_cell_length_b 4.2360
_cell_length_c 23.3515
_cell_angle_alpha 90.00
_cell_angle_beta 90.00
_cell_angle_gamma 120.00
_symmetry_space_group_name_H-M 'R 3 m'
_symmetry_Int_Tables_number 160
_symmetry_space_group_name_Hall 'R 3 -2"'
loop_
_atom_site_label
_atom_site_type_symbol
_atom_site_fract_x
_atom_site_fract_y
_atom_site_fract_z
Pm1 Pm 0.0000 0.0000 0.0000
Nd1 Nd 0.0000 0.0000 0.8007
As1 As 0.0000 0.0000 0.3981
I1 I 0.0000 0.0000 0.5684
```

[2]
A plane-wave DFT calculation with GGA-PBE was carried out for a geometry-optimized Nd12Tm6In structure.

Excess energy over the best structure of this formula in the dataset ... 0.000 eV/f.u.
Crystal system ... trigonal

CIF file:
```
data_Nd12Tm6In
_chemical_formula_sum 'Nd36 Tm18 In3'
_cell_length_a 12.0382
_cell_length_b 12.0382
_cell_length_c 15.2617
_cell_angle_alpha 90.00
_cell_angle_beta 90.00
_cell_angle_gamma 120.00
_symmetry_space_group_name_H-M 'R -3'
_symmetry_Int_Tables_number 148
_symmetry_space_group_name_Hall '-R 3'
loop_
_atom_site_label
_atom_site_type_symbol
_atom_site_fract_x
_atom_site_fract_y
_atom_site_fract_z
Nd1 Nd 0.0092 0.8304 0.3138
Nd2 Nd 0.0479 0.2014 0.9147
Tm1 Tm 0.0271 0.5908 0.1921
In1 In 0.0000 0.0000 0.5000
```

[3]
A plane-wave DFT calculation with GGA-PBE was carried out for a geometry-optimized YErPtPb structure.

Crystal system ... cubic

CIF file:
```
data_YErPtPb
_chemical_formula_sum 'Y4 Er4 Pt4 Pb4'
_cell_length_a 7.3154
_cell_length_b 7.3154
_cell_length_c 7.3154
_cell_angle_alpha 90.00
_cell_angle_beta 90.00
_cell_angle_gamma 90.00
_symmetry_space_group_name_H-M 'F -4 3 m'
_symmetry_Int_Tables_number 216
_symmetry_space_group_name_Hall 'F -4 2 3'
loop_
_atom_site_label
_atom_site_type_symbol
_atom_site_fract_x
_atom_site_fract_y
_atom_site_fract_z
Y1 Y 0.0000 0.0000 0.0000
Er1 Er 0.0000 0.0000 0.5000
Pt1 Pt 0.2500 0.2500 0.7500
Pb1 Pb 0.2500 0.2500 0.2500
```

Number 1: calculated total energy -5.23 eV per atom, D(E_F) 0.234 states/eV/atom. Number 2: calculated total energy -4.51 eV per atom, D(E_F) 1.595 states/eV/atom. Number 3: calculated total energy -5.94 eV per atom, D(E_F) 0.316 states/eV/atom.